Below is a geometry-optimized Mn2AlTe structure, with properties calculated at the PBE level.

Structure (CIF):
```
data_Mn2AlTe
_chemical_formula_sum 'Mn4 Al2 Te2'
_space_group_name_H-M_alt 'I -4 m 2'
_space_group_IT_number 119
_space_group_name_Hall 'I -4 -2'
_cell_length_a 3.8833
_cell_length_b 3.8833
_cell_length_c 8.6775
_cell_angle_alpha 90.00
_cell_angle_beta 90.00
_cell_angle_gamma 90.00
loop_
_atom_site_label
_atom_site_fract_x
_atom_site_fract_y
_atom_site_fract_z
Mn1 0.0000 0.0000 0.0000
Mn2 0.0000 0.5000 0.2500
Al1 0.0000 0.5000 0.7500
Te1 0.0000 0.0000 0.5000
```

Output
For the distance to the lowest polymorph of the same formula, the calculation gives 0.0709 eV per atom. The value obtained for the total DFT energy (no corrections) is -48.98 eV for the cell shown. As for the energy relative to the elements, uncorrected: 0.18 eV per atom.

Below is a geometry-optimized Sm4Sb3Br structure, with properties calculated at the PBE level.

Structure (CIF):
```
data_Sm4Sb3Br
_chemical_formula_sum 'Sm8 Sb6 Br2'
_space_group_name_H-M_alt 'I 4/m m m'
_space_group_IT_number 139
_space_group_name_Hall '-I 4 2'
_cell_length_a 6.2497
_cell_length_b 6.2497
_cell_length_c 12.5759
_cell_angle_alpha 90.00
_cell_angle_beta 90.00
_cell_angle_gamma 90.00
loop_
_atom_site_label
_atom_site_fract_x
_atom_site_fract_y
_atom_site_fract_z
Sm1 0.0000 0.0000 0.2417
Sm2 0.0000 0.5000 0.0000
Sb1 0.0000 0.0000 0.0000
Sb2 0.0000 0.5000 0.2500
Br1 0.0000 0.0000 0.5000
```

Output
The value obtained for the total DFT energy (no corrections) is -84.85 eV for the cell shown. As for the energy relative to the elements, uncorrected: -1.19 eV per atom.

Below is a geometry-optimized BaAl2Sb structure, with properties calculated at the PBE level.

Structure (CIF):
```
data_BaAl2Sb
_chemical_formula_sum 'Ba2 Al4 Sb2'
_space_group_name_H-M_alt 'I 4/m m m'
_space_group_IT_number 139
_space_group_name_Hall '-I 4 2'
_cell_length_a 4.8298
_cell_length_b 4.8298
_cell_length_c 9.6277
_cell_angle_alpha 90.00
_cell_angle_beta 90.00
_cell_angle_gamma 90.00
loop_
_atom_site_label
_atom_site_fract_x
_atom_site_fract_y
_atom_site_fract_z
Ba1 0.0000 0.0000 0.0000
Al1 0.0000 0.5000 0.2500
Sb1 0.0000 0.0000 0.5000
```

Output
The value obtained for the total DFT energy (no corrections) is -26.95 eV for the cell shown. As for the energy relative to the elements, uncorrected: 0.01 eV per atom.

Below is a geometry-optimized SmDy2Cu6 structure, with properties calculated at the PBE level.

Structure (CIF):
```
data_SmDy2Cu6
_chemical_formula_sum 'Sm1 Dy2 Cu6'
_space_group_name_H-M_alt 'P 6/m m m'
_space_group_IT_number 191
_space_group_name_Hall '-P 6 2'
_cell_length_a 7.3438
_cell_length_b 7.3438
_cell_length_c 3.5976
_cell_angle_alpha 90.00
_cell_angle_beta 90.00
_cell_angle_gamma 120.00
loop_
_atom_site_label
_atom_site_fract_x
_atom_site_fract_y
_atom_site_fract_z
Sm1 0.0000 0.0000 0.0000
Dy1 0.3333 0.6667 0.0000
Cu1 0.0000 0.3348 0.5000
```

Output
The value obtained for the total DFT energy (no corrections) is -40.75 eV for the cell shown. For the energy relative to the elements, the calculation gives -0.250 eV per atom.

Below is a geometry-optimized CuAsO3 structure, with properties calculated at the PBE level.

Structure (CIF):
```
data_CuAsO3
_chemical_formula_sum 'Cu6 As6 O18'
_space_group_name_H-M_alt 'R -3'
_space_group_IT_number 148
_space_group_name_Hall '-R 3'
_cell_length_a 5.0688
_cell_length_b 5.0688
_cell_length_c 15.0475
_cell_angle_alpha 90.00
_cell_angle_beta 90.00
_cell_angle_gamma 120.00
loop_
_atom_site_label
_atom_site_fract_x
_atom_site_fract_y
_atom_site_fract_z
Cu1 0.0000 0.0000 0.1080
As1 0.0000 0.0000 0.3354
O1 0.0037 0.3790 0.9295
```

Output
The value obtained for the total DFT energy (no corrections) is -167.28 eV for the cell shown. As for the energy relative to the elements, uncorrected: -0.85 eV per atom.

Below is a geometry-optimized TmNb2Ru structure, with properties calculated at the PBE level.

Structure (CIF):
```
data_TmNb2Ru
_chemical_formula_sum 'Tm3 Nb6 Ru3'
_space_group_name_H-M_alt 'R -3 m'
_space_group_IT_number 166
_space_group_name_Hall '-R 3 2"'
_cell_length_a 2.9527
_cell_length_b 2.9527
_cell_length_c 31.0826
_cell_angle_alpha 90.00
_cell_angle_beta 90.00
_cell_angle_gamma 120.00
loop_
_atom_site_label
_atom_site_fract_x
_atom_site_fract_y
_atom_site_fract_z
Tm1 0.0000 0.0000 0.0000
Nb1 0.0000 0.0000 0.0969
Ru1 0.0000 0.0000 0.5000
```

Output
The value obtained for the total DFT energy (no corrections) is -96.80 eV for the cell shown. For the energy relative to the elements, the calculation gives 0.405 eV per atom.

Below is a geometry-optimized CoH structure, with properties calculated at the PBE level.

Structure (CIF):
```
data_CoH
_chemical_formula_sum 'Co6 H6'
_space_group_name_H-M_alt 'P 63/m'
_space_group_IT_number 176
_space_group_name_Hall '-P 6c'
_cell_length_a 6.4890
_cell_length_b 6.4890
_cell_length_c 2.5326
_cell_angle_alpha 90.00
_cell_angle_beta 90.00
_cell_angle_gamma 120.00
loop_
_atom_site_label
_atom_site_fract_x
_atom_site_fract_y
_atom_site_fract_z
Co1 0.0259 0.6901 0.2500
H1 0.1471 0.4866 0.2500
```

Output
The value obtained for the total DFT energy (no corrections) is -60.34 eV for the cell shown.

Below is a geometry-optimized ScBeSn structure, with properties calculated at the PBE level.

Structure (CIF):
```
data_ScBeSn
_chemical_formula_sum 'Sc6 Be6 Sn6'
_space_group_name_H-M_alt 'R 3 m'
_space_group_IT_number 160
_space_group_name_Hall 'R 3 -2"'
_cell_length_a 3.5001
_cell_length_b 3.5001
_cell_length_c 33.7381
_cell_angle_alpha 90.00
_cell_angle_beta 90.00
_cell_angle_gamma 120.00
loop_
_atom_site_label
_atom_site_fract_x
_atom_site_fract_y
_atom_site_fract_z
Sc1 0.0000 0.0000 0.0000
Sc2 0.0000 0.0000 0.1951
Be1 0.0000 0.0000 0.0809
Be2 0.0000 0.0000 0.7204
Sn1 0.0000 0.0000 0.5964
Sn2 0.0000 0.0000 0.7956
```

Output
The value obtained for the total DFT energy (no corrections) is -84.39 eV for the cell shown. For the energy relative to the elements, the calculation gives -0.001 eV per atom.

Below is a geometry-optimized ZrZnCr2 structure, with properties calculated at the PBE level.

Structure (CIF):
```
data_ZrZnCr2
_chemical_formula_sum 'Zr2 Zn2 Cr4'
_space_group_name_H-M_alt 'C m m m'
_space_group_IT_number 65
_space_group_name_Hall '-C 2 2'
_cell_length_a 5.4683
_cell_length_b 8.6119
_cell_length_c 2.5610
_cell_angle_alpha 90.00
_cell_angle_beta 90.00
_cell_angle_gamma 90.00
loop_
_atom_site_label
_atom_site_fract_x
_atom_site_fract_y
_atom_site_fract_z
Zr1 0.0000 0.0000 0.0000
Zn1 0.0000 0.5000 0.0000
Cr1 0.2500 0.2500 0.5000
```

Output
The value obtained for the total DFT energy (no corrections) is -54.22 eV for the cell shown. For the energy relative to the elements, the calculation gives 0.489 eV per atom.

Below is a geometry-optimized ReMoSe2 structure, with properties calculated at the PBE level.

Structure (CIF):
```
data_ReMoSe2
_chemical_formula_sum 'Re2 Mo2 Se4'
_space_group_name_H-M_alt 'I m m 2'
_space_group_IT_number 44
_cell_length_a 3.0993
_cell_length_b 4.3690
_cell_length_c 9.6211
_cell_angle_alpha 90.00
_cell_angle_beta 90.00
_cell_angle_gamma 90.00
loop_
_space_group_symop_operation_xyz
'x,y,z'
'-x,-y,z'
'-x,y,z'
'x,-y,z'
'x+1/2,y+1/2,z+1/2'
'-x+1/2,-y+1/2,z+1/2'
'-x+1/2,y+1/2,z+1/2'
'x+1/2,-y+1/2,z+1/2'
loop_
_atom_site_label
_atom_site_fract_x
_atom_site_fract_y
_atom_site_fract_z
Re1 0.0000 0.0000 0.0000
Mo1 0.0000 0.5000 0.7712
Se1 0.0000 0.0000 0.5050
Se2 0.0000 0.5000 0.2848
```

Output
For the distance to the lowest polymorph of the same formula, the calculation gives 0.5149 eV per atom. The value obtained for the total DFT energy (no corrections) is -56.99 eV for the cell shown. As for the energy relative to the elements, uncorrected: 0.44 eV per atom.

Below is a geometry-optimized CaY2Hg8 structure, with properties calculated at the PBE level.

Structure (CIF):
```
data_CaY2Hg8
_chemical_formula_sum 'Ca2 Y4 Hg16'
_space_group_name_H-M_alt 'I m m m'
_space_group_IT_number 71
_space_group_name_Hall '-I 2 2'
_cell_length_a 5.1241
_cell_length_b 7.2269
_cell_length_c 15.0009
_cell_angle_alpha 90.00
_cell_angle_beta 90.00
_cell_angle_gamma 90.00
loop_
_atom_site_label
_atom_site_fract_x
_atom_site_fract_y
_atom_site_fract_z
Ca1 0.0000 0.0000 0.0000
Y1 0.0000 0.0000 0.3085
Hg1 0.0000 0.2062 0.5000
Hg2 0.0000 0.2834 0.1497
Hg3 0.0000 0.5000 0.3412
```

Output
The value obtained for the total DFT energy (no corrections) is -41.78 eV for the cell shown. For the energy relative to the elements, the calculation gives -0.322 eV per atom.

Below is a geometry-optimized Cr2TcPdN structure, with properties calculated at the PBE level.

Structure (CIF):
```
data_Cr2TcPdN
_chemical_formula_sum 'Cr2 Tc1 Pd1 N1'
_space_group_name_H-M_alt 'P 4/m m m'
_space_group_IT_number 123
_space_group_name_Hall '-P 4 2'
_cell_length_a 3.8927
_cell_length_b 3.8927
_cell_length_c 3.9967
_cell_angle_alpha 90.00
_cell_angle_beta 90.00
_cell_angle_gamma 90.00
loop_
_atom_site_label
_atom_site_fract_x
_atom_site_fract_y
_atom_site_fract_z
Cr1 0.0000 0.5000 0.0000
Tc1 0.0000 0.0000 0.5000
Pd1 0.5000 0.5000 0.5000
N1 0.0000 0.0000 0.0000
```

Output
The value obtained for the total DFT energy (no corrections) is -43.69 eV for the cell shown. As for the energy relative to the elements, uncorrected: -0.11 eV per atom.

Below is a geometry-optimized Nd6Co2Cu structure, with properties calculated at the PBE level.

Structure (CIF):
```
data_Nd6Co2Cu
_chemical_formula_sum 'Nd24 Co8 Cu4'
_space_group_name_H-M_alt 'I m m m'
_space_group_IT_number 71
_space_group_name_Hall '-I 2 2'
_cell_length_a 9.5627
_cell_length_b 9.8759
_cell_length_c 10.0404
_cell_angle_alpha 90.00
_cell_angle_beta 90.00
_cell_angle_gamma 90.00
loop_
_atom_site_label
_atom_site_fract_x
_atom_site_fract_y
_atom_site_fract_z
Nd1 0.0000 0.1905 0.2343
Nd2 0.1856 0.5000 0.1744
Nd3 0.2211 0.3223 0.5000
Co1 0.0000 0.3344 0.0000
Co2 0.0000 0.5000 0.3867
Cu1 0.0000 0.0000 0.0000
Cu2 0.0000 0.0000 0.5000
```

Output
The value obtained for the total DFT energy (no corrections) is -190.24 eV for the cell shown. For the energy relative to the elements, the calculation gives -0.072 eV per atom.